## SrMnO3 (PBE with a Hubbard U)

Data for a geometry-optimized SrMnO3 structure.

Results
E, eV/cell: -31.99
Total magnetization, μB per formula unit: 3.00

Unit cell a=5.086 b=5.086 c=5.086 alpha=81.63 beta=81.63 gamma=81.63
Element x y z (fractional)
Sr 0.000 0.000 0.000
Mn 0.294 0.294 0.294
O 0.100 0.100 0.524
O 0.100 0.524 0.100
O 0.524 0.100 0.100